# Cu2F3

A geometry-optimized Cu2F3 structure (GGA-PBE, OQMD).

**Space group**: No. 44
**Theoretical density**: 5.31 g/cm³
**Total DFT energy (no corrections)**: -3.86 eV per atom

abc: 5.2804 5.2804 5.2804
angles: 136.33 57.01 145.21
Atoms (fractional coordinates):
1 Cu 0.1504 0.0000 0.1504
2 Cu 0.8496 0.0000 0.8496
3 F 0.1367 0.4593 0.6774
4 F 0.5162 0.5162 0.0000
5 F 0.7819 0.4593 0.3226